Entry 1:
## LiHfPd2 (PBE-GGA)

Data for a relaxed structure of LiHfPd2.

Cell and atoms, written as POSCAR:
```
LiHfPd2
1.0
4.4511 0.0000 0.0000
-2.2255 3.8547 0.0000
0.0000 0.0000 8.2811
Li Hf Pd
2 2 4
Direct
0.3333 0.6667 0.2500 Li
0.6667 0.3333 0.7500 Li
0.0000 0.0000 0.0000 Hf
0.0000 0.0000 0.5000 Hf
0.3333 0.6667 0.5913 Pd
0.3333 0.6667 0.9087 Pd
0.6667 0.3333 0.0913 Pd
0.6667 0.3333 0.4087 Pd
```

Calculated values
The energy above the most stable polymorph in this dataset is 213 meV per atom.

***

Entry 2:
## BaZr2Sc (PBE-GGA)

Data for a relaxed structure of BaZr2Sc.

Cell and atoms, written as POSCAR:
```
BaZr2Sc
1.0
7.5732 0.0000 0.0000
0.0000 7.5732 0.0000
0.0000 0.0000 7.5732
Ba Zr Sc
4 8 4
Direct
0.0000 0.0000 0.0000 Ba
0.0000 0.5000 0.5000 Ba
0.5000 0.0000 0.5000 Ba
0.5000 0.5000 0.0000 Ba
0.0000 0.0000 0.5000 Zr
0.0000 0.5000 0.0000 Zr
0.2500 0.2500 0.7500 Zr
0.2500 0.7500 0.2500 Zr
0.5000 0.0000 0.0000 Zr
0.5000 0.5000 0.5000 Zr
0.7500 0.2500 0.2500 Zr
0.7500 0.7500 0.7500 Zr
0.2500 0.2500 0.2500 Sc
0.2500 0.7500 0.7500 Sc
0.7500 0.2500 0.7500 Sc
0.7500 0.7500 0.2500 Sc
```

Calculated values
The value obtained for the energy is -92.8 eV/cell.

***

Entry 3:
## HfPdPb (PBE-GGA)

Data for a relaxed structure of HfPdPb.

Cell and atoms, written as POSCAR:
```
HfPdPb
1.0
3.4871 0.0000 0.0000
0.0000 3.4871 0.0000
0.0000 0.0000 10.2527
Hf Pd Pb
2 2 2
Direct
0.0000 0.0000 0.0000 Hf
0.5000 0.5000 0.5000 Hf
0.0000 0.0000 0.3654 Pd
0.0000 0.0000 0.6346 Pd
0.5000 0.5000 0.1937 Pb
0.5000 0.5000 0.8063 Pb
```

Calculated values
The value obtained for the energy is -39.4 eV/cell.